NaAc2Bi3Pd6 | GGA-PBE | relaxed

a = 4.297 Å, b = 4.297 Å, c = 16.293 Å
α = 90.00°, β = 90.00°, γ = 90.00°
Positions (direct):
Na: 0.000 0.000 0.000
Ac: 0.000 0.000 0.361
Ac: 0.000 0.000 0.639
Bi: 0.500 0.500 0.108
Bi: 0.500 0.500 0.500
Bi: 0.500 0.500 0.892
Pd: 0.000 0.500 0.215
Pd: 0.000 0.500 0.785
Pd: 0.500 0.000 0.215
Pd: 0.500 0.000 0.785
Pd: 0.500 0.500 0.327
Pd: 0.500 0.500 0.673

Total magnetization ... 0.0 μB/f.u.
Energy ... -59.1 eV/cell
Formation energy from the elements ... -0.567 eV/atom